[1]
MnP2SeF (PBE+U, optimized geometry); Fermi-level density of states = 0.485 states/eV/atom; symmetry = P4/mmm (123); calculated volume = 22.91 Å³ per atom; DFT total energy = -20.4 eV/cell
1.0
4.7592 0.0000 0.0000
0.0000 4.7592 0.0000
0.0000 0.0000 5.0581
Mn P Se F
1 2 1 1
direct
0.0000 0.0000 0.0000 Mn
0.0000 0.5000 0.5000 P
0.5000 0.0000 0.5000 P
0.0000 0.0000 0.5000 Se
0.5000 0.5000 0.0000 F

[2]
SrMnPF (PBE+U, optimized geometry); Fermi-level density of states = 0.139 states/eV/atom; symmetry = P4/nmm (129); calculated volume = 19.97 Å³ per atom; DFT total energy = -47.4 eV/cell
1.0
4.1924 0.0000 0.0000
0.0000 4.1924 0.0000
0.0000 0.0000 9.0914
Sr Mn P F
2 2 2 2
direct
0.2500 0.2500 0.1527 Sr
0.7500 0.7500 0.8473 Sr
0.2500 0.7500 0.5000 Mn
0.7500 0.2500 0.5000 Mn
0.2500 0.2500 0.6667 P
0.7500 0.7500 0.3333 P
0.2500 0.7500 0.0000 F
0.7500 0.2500 0.0000 F

[3]
Mn2TePF (PBE+U, optimized geometry); Fermi-level density of states = 0.499 states/eV/atom; symmetry = P4/mmm (123); calculated volume = 30.87 Å³ per atom; DFT total energy = -22.3 eV/cell
1.0
5.5811 0.0000 0.0000
0.0000 5.5811 0.0000
0.0000 0.0000 4.9551
Mn Te P F
2 1 1 1
direct
0.0000 0.5000 0.0000 Mn
0.5000 0.0000 0.0000 Mn
0.0000 0.0000 0.0000 Te
0.0000 0.0000 0.5000 P
0.5000 0.5000 0.5000 F

[4]
MnTe2PF (PBE+U, optimized geometry); Fermi-level density of states = 1.383 states/eV/atom; symmetry = P4/mmm (123); calculated volume = 21.73 Å³ per atom; DFT total energy = -17.5 eV/cell
1.0
5.1209 0.0000 0.0000
0.0000 5.1209 0.0000
0.0000 0.0000 4.1425
Mn Te P F
1 2 1 1
direct
0.0000 0.0000 0.0000 Mn
0.0000 0.5000 0.0000 Te
0.5000 0.0000 0.0000 Te
0.0000 0.0000 0.5000 P
0.5000 0.5000 0.5000 F

[5]
MnVPF (PBE+U, optimized geometry); Fermi-level density of states = 0.021 states/eV/atom; symmetry = P1 (1); calculated volume = 16.40 Å³ per atom; DFT total energy = -25.4 eV/cell
1.0
3.4884 0.0000 0.0000
-0.0087 4.3121 0.0000
-0.3637 -0.0028 4.3612
Mn V P F
1 1 1 1
direct
0.0000 0.0000 0.0000 Mn
0.8409 0.5000 0.5062 V
0.3817 0.9992 0.5258 P
0.8579 0.4996 0.0110 F

[6]
MnVPF (PBE+U, optimized geometry); Fermi-level density of states = 0.271 states/eV/atom; symmetry = P1 (1); calculated volume = 16.70 Å³ per atom; DFT total energy = -23.3 eV/cell
1.0
2.8601 0.0000 0.0000
-1.3091 2.5434 0.0000
-0.1426 -0.2733 9.1854
Mn V P F
1 1 1 1
direct
0.0000 0.0000 0.0000 Mn
0.4172 0.6341 0.2485 V
0.6410 0.3129 0.7800 P
0.0894 0.9899 0.3854 F

[7]
MnVPF (PBE+U, optimized geometry); Fermi-level density of states = 0.080 states/eV/atom; symmetry = Cm (8); calculated volume = 17.35 Å³ per atom; DFT total energy = -24.9 eV/cell
1.0
4.3607 -1.7214 0.0000
4.3607 1.7214 0.0000
-4.2072 0.0000 4.6224
Mn V P F
1 1 1 1
direct
0.0000 0.0000 0.0000 Mn
0.0280 0.0280 0.5071 V
0.3316 0.3316 0.0865 P
0.8111 0.8111 0.5496 F

[8]
MnVPF (PBE+U, optimized geometry); Fermi-level density of states = 0.137 states/eV/atom; symmetry = Cm (8); calculated volume = 17.53 Å³ per atom; DFT total energy = -24.5 eV/cell
1.0
5.3464 -2.0525 0.0000
5.3464 2.0525 0.0000
-1.0535 0.0000 3.1946
Mn V P F
1 1 1 1
direct
0.0000 0.0000 0.0000 Mn
0.7222 0.7222 0.2192 V
0.5302 0.5302 0.5291 P
0.2182 0.2182 0.2154 F

[9]
MnVPF (PBE+U, optimized geometry); Fermi-level density of states = 0.188 states/eV/atom; symmetry = Amm2 (38); calculated volume = 19.74 Å³ per atom; DFT total energy = -24.4 eV/cell
1.0
3.4395 0.0000 0.0000
0.0000 1.7631 6.5101
0.0000 -1.7631 6.5101
Mn V P F
1 1 1 1
direct
0.0000 0.0000 0.0000 Mn
0.5000 0.2683 0.2683 V
0.5000 0.4594 0.4594 P
0.0000 0.1685 0.1685 F

[10]
MnVPF (PBE+U, optimized geometry); Fermi-level density of states = 0.376 states/eV/atom; symmetry = Imm2 (44); calculated volume = 17.39 Å³ per atom; DFT total energy = -24.2 eV/cell
1.0
-1.7387 1.7444 5.7327
1.7387 -1.7444 5.7327
1.7387 1.7444 -5.7327
Mn V P F
1 1 1 1
direct
0.0000 0.0000 0.0000 Mn
0.2884 0.2884 0.0000 V
0.5137 0.5137 0.0000 P
0.7938 0.7938 0.0000 F

[11]
MnVPF (PBE+U, optimized geometry); Fermi-level density of states = 0.208 states/eV/atom; symmetry = Amm2 (38); calculated volume = 16.28 Å³ per atom; DFT total energy = -24.3 eV/cell
1.0
3.2662 0.0000 0.0000
0.0000 1.5938 6.2528
0.0000 -1.5938 6.2528
Mn V P F
1 1 1 1
direct
0.0000 0.0000 0.0000 Mn
0.0000 0.2108 0.2108 V
0.5000 0.6127 0.6127 P
0.0000 0.8351 0.8351 F

[12]
MnVPF (PBE+U, optimized geometry); Fermi-level density of states = 0.244 states/eV/atom; symmetry = Pm (6); calculated volume = 16.79 Å³ per atom; DFT total energy = -25.0 eV/cell
1.0
3.6799 0.0000 0.0000
0.0000 3.5954 0.0000
-0.0081 0.0000 5.0776
Mn V P F
1 1 1 1
direct
0.0000 0.0000 0.0000 Mn
0.5836 0.5000 0.5003 V
0.4941 0.5000 0.0003 P
0.9396 0.0000 0.5004 F

[13]
MnVPF (PBE+U, optimized geometry); Fermi-level density of states = 0.280 states/eV/atom; symmetry = Cm (8); calculated volume = 18.70 Å³ per atom; DFT total energy = -24.9 eV/cell
1.0
6.3615 -1.7119 0.0000
6.3615 1.7119 0.0000
-0.9852 0.0000 3.4346
Mn V P F
1 1 1 1
direct
0.0000 0.0000 0.0000 Mn
0.7833 0.7833 0.2842 V
0.4440 0.4440 0.4454 P
0.1750 0.1750 0.1736 F

[14]
PaMn2F11 (PBE+U, optimized geometry); Fermi-level density of states = 0.000 states/eV/atom; symmetry = C2/c (15); calculated volume = 14.41 Å³ per atom; DFT total energy = -172.2 eV/cell
1.0
6.8113 -4.3091 0.0000
6.8113 4.3091 0.0000
-5.3424 0.0000 6.8724
Pa Mn F
2 4 22
direct
0.2452 0.7548 0.7500 Pa
0.7548 0.2452 0.2500 Pa
0.1606 0.3442 0.8433 Mn
0.3442 0.1606 0.3433 Mn
0.6558 0.8394 0.6567 Mn
0.8394 0.6558 0.1567 Mn
0.0000 0.5000 0.0000 F
0.0780 0.7043 0.4430 F
0.0845 0.1470 0.3063 F
0.1470 0.0845 0.8063 F
0.1842 0.5832 0.8504 F
0.2059 0.3143 0.2087 F
0.2957 0.9220 0.0570 F
0.3143 0.2059 0.7087 F
0.3368 0.4398 0.5875 F
0.4168 0.8158 0.6496 F
0.4398 0.3368 0.0875 F
0.5000 0.0000 0.5000 F
0.5602 0.6632 0.9125 F
0.5832 0.1842 0.3504 F
0.6632 0.5602 0.4125 F
0.6857 0.7941 0.2913 F
0.7043 0.0780 0.9430 F
0.7941 0.6857 0.7913 F
0.8158 0.4168 0.1496 F
0.8530 0.9155 0.1937 F
0.9155 0.8530 0.6937 F
0.9220 0.2957 0.5570 F

[15]
PaMnF2 (PBE+U, optimized geometry); Fermi-level density of states = 1.063 states/eV/atom; symmetry = R-3m (166); calculated volume = 17.15 Å³ per atom; DFT total energy = -27.1 eV/cell
1.0
1.6807 0.9704 7.0100
-1.6807 0.9704 7.0100
0.0000 -1.9407 7.0100
Pa Mn F
1 1 2
direct
0.0000 0.0000 0.0000 Pa
0.5000 0.5000 0.5000 Mn
0.1214 0.1214 0.1214 F
0.8786 0.8786 0.8786 F

[16]
Mn2PbF8 (PBE+U, optimized geometry); symmetry = Cm (8); calculated volume = 14.60 Å³ per atom; DFT total energy = -59.5 eV/cell
1.0
3.1888 -6.6468 0.0000
3.1888 6.6468 0.0000
-0.7438 0.0000 3.7885
Mn Pb F
2 1 8
direct
0.1530 0.8470 0.0000 Mn
0.8470 0.1530 0.0000 Mn
0.4801 0.4801 0.7998 Pb
0.0081 0.0081 0.9684 F
0.1482 0.4425 0.1031 F
0.1808 0.8331 0.5001 F
0.4425 0.1482 0.1031 F
0.5447 0.8653 0.8976 F
0.6741 0.6741 0.3519 F
0.8331 0.1808 0.5001 F
0.8653 0.5447 0.8976 F

[17]
Mn2PbF6 (PBE+U, optimized geometry); Fermi-level density of states = 0.000 states/eV/atom; symmetry = P-31m (162); calculated volume = 16.12 Å³ per atom; DFT total energy = -53.1 eV/cell
1.0
5.6687 0.0000 0.0000
-2.8343 4.9092 0.0000
0.0000 0.0000 5.2137
Mn Pb F
2 1 6
direct
0.3333 0.6667 0.0000 Mn
0.6667 0.3333 0.0000 Mn
0.0000 0.0000 0.5000 Pb
0.0000 0.3580 0.2183 F
0.0000 0.6420 0.7817 F
0.3580 0.0000 0.2183 F
0.3580 0.3580 0.7817 F
0.6420 0.0000 0.7817 F
0.6420 0.6420 0.2183 F

[18]
MnPb4F10 (PBE+U, optimized geometry); Fermi-level density of states = 0.000 states/eV/atom; symmetry = R-3m (166); calculated volume = 16.81 Å³ per atom; DFT total energy = -77.4 eV/cell
1.0
2.0852 1.2039 16.7447
-2.0852 1.2039 16.7447
0.0000 -2.4078 16.7447
Mn Pb F
1 4 10
direct
0.0000 0.0000 0.0000 Mn
0.2015 0.2015 0.2015 Pb
0.3944 0.3944 0.3944 Pb
0.6056 0.6056 0.6056 Pb
0.7985 0.7985 0.7985 Pb
0.0413 0.0413 0.0413 F
0.1500 0.1500 0.1500 F
0.2556 0.2556 0.2556 F
0.3448 0.3448 0.3448 F
0.4471 0.4471 0.4471 F
0.5529 0.5529 0.5529 F
0.6552 0.6552 0.6552 F
0.7444 0.7444 0.7444 F
0.8500 0.8500 0.8500 F
0.9587 0.9587 0.9587 F

[19]
MnPbF4 (PBE+U, optimized geometry); Fermi-level density of states = 0.000 states/eV/atom; symmetry = P2_1/c (14); calculated volume = 15.57 Å³ per atom; DFT total energy = -67.4 eV/cell
1.0
5.7049 0.0000 0.0000
0.0000 5.7752 0.0000
-0.2914 0.0000 5.6725
Mn Pb F
2 2 8
direct
0.0000 0.0000 0.0000 Mn
0.0000 0.5000 0.5000 Mn
0.5000 0.0000 0.5000 Pb
0.5000 0.5000 0.0000 Pb
0.1512 0.1918 0.7099 F
0.1512 0.3082 0.2099 F
0.3172 0.6436 0.6206 F
0.3172 0.8564 0.1206 F
0.6828 0.1436 0.8794 F
0.6828 0.3564 0.3794 F
0.8488 0.6918 0.7901 F
0.8488 0.8082 0.2901 F

[20]
MnPb2F11 (PBE+U, optimized geometry); symmetry = Ibam (72); calculated volume = 15.52 Å³ per atom; DFT total energy = -124.9 eV/cell
1.0
-4.0703 5.1613 5.1725
4.0703 -5.1613 5.1725
4.0703 5.1613 -5.1725
Mn Pb F
2 4 22
direct
0.2500 0.2500 0.0000 Mn
0.7500 0.7500 0.0000 Mn
0.1942 0.6009 0.7951 Pb
0.3058 0.1009 0.4068 Pb
0.6942 0.8991 0.5932 Pb
0.8058 0.3991 0.2049 Pb
0.0000 0.5000 0.5000 F
0.0010 0.0782 0.8279 F
0.0446 0.4846 0.1834 F
0.1989 0.0154 0.5600 F
0.2051 0.3384 0.5435 F
0.2503 0.1732 0.1721 F
0.2497 0.4218 0.9229 F
0.2949 0.8384 0.1332 F
0.3011 0.8612 0.8166 F
0.4554 0.6388 0.4400 F
0.4990 0.3268 0.0771 F
0.5000 0.0000 0.5000 F
0.5010 0.6732 0.9229 F
0.5446 0.3612 0.5600 F
0.6989 0.1388 0.1834 F
0.7051 0.1616 0.8668 F
0.7503 0.5782 0.0771 F
0.7497 0.8268 0.8279 F
0.7949 0.6616 0.4565 F
0.8011 0.9846 0.4400 F
0.9554 0.5154 0.8166 F
0.9990 0.9218 0.1721 F

[21]
Mn2Pb2F7 (PBE+U, optimized geometry); Fermi-level density of states = 0.134 states/eV/atom; symmetry = Cmmm (65); calculated volume = 15.74 Å³ per atom; DFT total energy = -60.8 eV/cell
1.0
3.5056 -4.0193 0.0000
3.5056 4.0193 0.0000
0.0000 0.0000 6.1429
Mn Pb F
2 2 7
direct
0.2313 0.7687 0.0000 Mn
0.7687 0.2313 0.0000 Mn
0.2476 0.2476 0.5000 Pb
0.7524 0.7524 0.5000 Pb
0.0000 0.0000 0.1958 F
0.0000 0.0000 0.8042 F
0.0000 0.5000 0.2325 F
0.0000 0.5000 0.7675 F
0.5000 0.0000 0.2325 F
0.5000 0.0000 0.7675 F
0.5000 0.5000 0.0000 F

[22]
MnPb3F (PBE+U, optimized geometry); Fermi-level density of states = 0.520 states/eV/atom; symmetry = Pm-3m (221); calculated volume = 26.77 Å³ per atom; DFT total energy = -21.7 eV/cell
1.0
5.1153 0.0000 0.0000
0.0000 5.1153 0.0000
0.0000 0.0000 5.1153
Mn Pb F
1 3 1
direct
0.0000 0.0000 0.0000 Mn
0.0000 0.5000 0.5000 Pb
0.5000 0.0000 0.5000 Pb
0.5000 0.5000 0.0000 Pb
0.5000 0.5000 0.5000 F

[23]
MnPb2F8 (PBE+U, optimized geometry); symmetry = P-3 (147); calculated volume = 17.54 Å³ per atom; DFT total energy = -54.5 eV/cell
1.0
6.8361 0.0000 0.0000
-3.4181 5.9203 0.0000
0.0000 0.0000 4.7677
Mn Pb F
1 2 8
direct
0.0000 0.0000 0.0000 Mn
0.3333 0.6667 0.7529 Pb
0.6667 0.3333 0.2471 Pb
0.1281 0.2576 0.7781 F
0.1295 0.8719 0.7781 F
0.2576 0.1295 0.2219 F
0.3333 0.6667 0.2417 F
0.6667 0.3333 0.7583 F
0.7424 0.8705 0.7781 F
0.8705 0.1281 0.2219 F
0.8719 0.7424 0.2219 F